No. 1
The following is a PBEsol calculation of a geometry-optimized DyFe2Ge2 structure, from the Alexandria database.

Lattice parameters (Å, degrees): 3.9533 3.9533 5.6460 110.49 110.49 90.00
With the nearest neighbours (Å) after each atom.
Atoms (fractional coordinates):
Ge 0.6303 0.6303 0.2607  4 Fe 2.30, 1 Ge 2.56
Dy 0.0000 0.0000 0.0000  8 Ge 3.07, 8 Fe 3.15
Fe 0.7500 0.2500 0.5000  4 Ge 2.30
Fe 0.2500 0.7500 0.5000  4 Ge 2.30
Ge 0.3697 0.3697 0.7393  4 Fe 2.30, 1 Ge 2.56

E_tot (eV per atom): -7.08
Calculated formation energy (eV/atom): -0.525

---

No. 2
The following is a PBEsol calculation of a geometry-optimized Al17Mo4 structure, from the Alexandria database.

Lattice parameters (Å, degrees): 4.9014 5.1795 28.6505 85.51 85.09 61.76
With the nearest neighbours (Å) after each atom.
Atoms (fractional coordinates):
Al 0.4296 0.1795 0.2729  9 Al 2.69-2.86, 3 Mo 2.82-2.83
Mo 0.9503 0.0883 0.3205  12 Al 2.69-2.88
Al 0.5376 0.6962 0.5537  3 Mo 2.62-2.69, 7 Al 2.69-2.90
Al 0.5221 0.0026 0.6301  9 Al 2.66-2.86, 3 Mo 2.73-2.88
Mo 0.0497 0.9117 0.6795  12 Al 2.69-2.88
Al 0.4779 0.9974 0.3699  9 Al 2.66-2.86, 3 Mo 2.73-2.88
Mo 0.5284 0.7659 0.4596  11 Al 2.62-2.85
Al 0.2828 0.9122 0.8943  2 Mo 2.66-2.74, 9 Al 2.66-2.94
Al 0.4624 0.3038 0.4463  3 Mo 2.62-2.69, 7 Al 2.69-2.90
Al 0.9108 0.4122 0.3943  2 Mo 2.66-2.74, 9 Al 2.66-2.94
Mo 0.4716 0.2341 0.5404  11 Al 2.62-2.85
Al 0.2870 0.6485 0.0859  8 Al 2.65-2.85, 3 Mo 2.74-2.85
Al 0.1548 0.4974 0.8699  9 Al 2.66-2.86, 3 Mo 2.73-2.88
Al 0.0892 0.5878 0.6057  2 Mo 2.66-2.74, 9 Al 2.66-2.94
Al 0.3881 0.5356 0.3441  9 Al 2.65-2.94, 2 Mo 2.70-2.72
Al 0.1416 0.3628 0.7005  2 Mo 2.69-2.70, 10 Al 2.69-2.96
Al 0.7345 0.2469 0.0070  4 Al 2.57-2.69, 4 Mo 2.71-2.81
Al 0.7951 0.8628 0.2005  2 Mo 2.69-2.70, 10 Al 2.69-2.96
Al 0.6897 0.2500 0.7500  10 Al 2.69-2.93, 2 Mo 2.70
Mo 0.6409 0.5883 0.8205  12 Al 2.69-2.88
Al 0.6119 0.4644 0.6559  9 Al 2.65-2.94, 2 Mo 2.70-2.72
Al 0.2125 0.1962 0.0537  3 Mo 2.62-2.69, 7 Al 2.69-2.90
Al 0.1180 0.6795 0.7729  9 Al 2.69-2.86, 3 Mo 2.82-2.83
Al 0.8820 0.3205 0.2271  9 Al 2.69-2.86, 3 Mo 2.82-2.83
Al 0.2655 0.7531 0.9930  4 Al 2.57-2.69, 4 Mo 2.71-2.81
Al 0.7322 0.0356 0.8441  9 Al 2.65-2.94, 2 Mo 2.70-2.72
Al 0.2678 0.9644 0.1559  9 Al 2.65-2.94, 2 Mo 2.70-2.72
Mo 0.2461 0.2659 0.9596  11 Al 2.62-2.85
Al 0.7130 0.3515 0.9141  8 Al 2.65-2.85, 3 Mo 2.74-2.85
Al 0.7172 0.0878 0.1057  2 Mo 2.66-2.74, 9 Al 2.66-2.94
Al 0.2049 0.1372 0.7995  2 Mo 2.69-2.70, 10 Al 2.69-2.96
Al 0.8584 0.6372 0.2995  2 Mo 2.69-2.70, 10 Al 2.69-2.96
Mo 0.3591 0.4117 0.1795  12 Al 2.69-2.88
Mo 0.7539 0.7341 0.0404  11 Al 2.62-2.85
Al 0.0116 0.7469 0.5070  4 Al 2.57-2.69, 4 Mo 2.71-2.81
Al 0.5704 0.8205 0.7271  9 Al 2.69-2.86, 3 Mo 2.82-2.83
Al 0.9786 0.1485 0.5859  8 Al 2.65-2.85, 3 Mo 2.74-2.85
Al 0.8452 0.5026 0.1301  9 Al 2.66-2.86, 3 Mo 2.73-2.88
Al 0.0214 0.8515 0.4141  8 Al 2.65-2.85, 3 Mo 2.74-2.85
Al 0.9884 0.2531 0.4930  4 Al 2.57-2.69, 4 Mo 2.71-2.81
Al 0.3103 0.7500 0.2500  10 Al 2.69-2.93, 2 Mo 2.70
Al 0.7875 0.8038 0.9463  3 Mo 2.62-2.69, 7 Al 2.69-2.90

E_tot (eV per atom): -5.80
Calculated formation energy (eV/atom): -0.250

---

No. 3
The following is a PBEsol calculation of a geometry-optimized GeBi2SeBr structure, from the Alexandria database.

Lattice parameters (Å, degrees): 5.1936 5.5205 5.5205 90.00 90.00 90.00
With the nearest neighbours (Å) after each atom.
Atoms (fractional coordinates):
Br 0.5000 0.5000 0.5000  8 Bi 3.79, 4 Ge 3.90
Bi 0.0000 0.0000 0.5000  2 Se 2.76
Ge 0.5000 0.0000 0.0000  2 Se 2.60
Se 0.0000 0.0000 0.0000  2 Ge 2.60, 4 Bi 2.76
Bi 0.0000 0.5000 0.0000  2 Se 2.76

E_tot (eV per atom): -3.34
Raw formation energy (eV/f.u.): 2.52

---

No. 4
The following is a PBEsol calculation of a geometry-optimized CaAu2Br structure, from the Alexandria database.

Lattice parameters (Å, degrees): 3.9511 3.9556 5.6867 90.00 90.00 90.71
With the nearest neighbours (Å) after each atom.
Atoms (fractional coordinates):
Au 0.7463 0.7537 0.0000  4 Au 2.77-2.85
Au 0.2537 0.2463 0.0000  4 Au 2.77-2.85
Br 0.0000 0.5000 0.5000  4 Ca 2.78-2.81
Ca 0.5000 0.0000 0.5000  4 Br 2.78-2.81

Energy above the most stable polymorph in this dataset (eV/f.u.): 0.00
E_tot (eV per atom): -3.65
Raw formation energy (eV/f.u.): -2.75

---

No. 5
The following is a PBEsol calculation of a geometry-optimized Sr2ZnPt structure, from the Alexandria database.

Lattice parameters (Å, degrees): 4.3831 4.3831 6.1242 90.00 90.00 90.00
With the nearest neighbours (Å) after each atom.
Atoms (fractional coordinates):
Pt 0.5000 0.5000 0.8747  6 Sr 3.06-3.10
Sr 0.0000 0.0000 0.8752  2 Zn 3.06, 4 Pt 3.10
Zn 0.0000 0.0000 0.3753  6 Sr 3.06-3.10
Sr 0.5000 0.5000 0.3748  2 Pt 3.06, 4 Zn 3.10

E_tot (eV per atom): -3.24
Calculated formation energy (eV/atom): -0.184

---

No. 6
The following is a PBEsol calculation of a geometry-optimized Co5Ni3 structure, from the Alexandria database.

Lattice parameters (Å, degrees): 3.4389 4.9113 4.9113 90.79 90.00 90.00
With the nearest neighbours (Å) after each atom.
Atoms (fractional coordinates):
Co 0.0000 0.0000 0.0000  4 Ni 2.44, 8 Co 2.45-2.46
Co 0.0000 0.5000 0.0000  6 Co 2.44-2.46, 6 Ni 2.45-2.46
Ni 0.0000 0.5000 0.5000  4 Ni 2.43, 8 Co 2.46
Ni 0.5000 0.2512 0.2512  2 Ni 2.43, 10 Co 2.44-2.46
Co 0.5000 0.7513 0.2487  6 Co 2.44-2.45, 6 Ni 2.45-2.46
Co 0.5000 0.2487 0.7513  6 Co 2.44-2.45, 6 Ni 2.45-2.46
Ni 0.5000 0.7488 0.7488  2 Ni 2.43, 10 Co 2.44-2.46
Co 0.0000 0.0000 0.5000  6 Co 2.44-2.46, 6 Ni 2.45-2.46

E_tot (eV per atom): -7.14
Calculated formation energy (eV/atom): 0.004

---

No. 7
The following is a PBEsol calculation of a geometry-optimized TcIrRh2 structure, from the Alexandria database.

Lattice parameters (Å, degrees): 3.7996 3.7996 4.6426 114.16 114.16 90.00
With the nearest neighbours (Å) after each atom.
Atoms (fractional coordinates):
Ir 0.2500 0.7500 0.5000  4 Tc 2.68, 8 Rh 2.68-2.69
Rh 0.7500 0.2500 0.5000  4 Tc 2.68, 4 Rh 2.68, 4 Ir 2.69
Tc 0.5000 0.5000 0.0000  4 Ir 2.68, 8 Rh 2.68-2.69
Rh 0.0000 0.0000 0.0000  4 Rh 2.68, 4 Ir 2.68, 4 Tc 2.69

Energy above the most stable polymorph in this dataset (eV/f.u.): 0.08
E_tot (eV per atom): -9.44
Calculated formation energy (eV/atom): -0.096

---

No. 8
The following is a PBEsol calculation of a geometry-optimized SrY2AsPb structure, from the Alexandria database.

Lattice parameters (Å, degrees): 5.6599 5.5006 5.5006 90.00 90.00 90.00
With the nearest neighbours (Å) after each atom.
Atoms (fractional coordinates):
Sr 0.0000 0.0000 0.0000  4 Y 2.75, 2 Pb 2.83
Y 0.0000 0.0000 0.5000  2 Sr 2.75
Pb 0.5000 0.0000 0.0000  2 Sr 2.83
As 0.5000 0.5000 0.5000  4 Pb 3.89, 8 Y 3.95
Y 0.0000 0.5000 0.0000  2 Sr 2.75

E_tot (eV per atom): -3.71
Calculated formation energy (eV/atom): 1.209

---

What is the E_tot in the seventh record?
-9.44 eV per atom